No. 1
Computed, not measured: TaFeSi at its PBEsol-relaxed geometry at the meta-GGA SCAN level of DFT.

Values from the calculation:
- Uncorrected formation energy: -513 meV/atom
- SG: Pnma
- Total moment: 0.001 μB per formula unit

abc: 3.7073 6.1212 6.8926
angles: 90.00 90.00 90.00
Sites, in units of the cell vectors:
1 Si 0.7500 0.7794 0.1133
2 Si 0.7500 0.2794 0.3867
3 Si 0.2500 0.2206 0.8867
4 Si 0.2500 0.7206 0.6133
5 Fe 0.7500 0.1486 0.0659
6 Fe 0.7500 0.6486 0.4341
7 Fe 0.2500 0.3514 0.5659
8 Fe 0.2500 0.8514 0.9341
9 Ta 0.2500 0.4866 0.1882
10 Ta 0.7500 0.0134 0.6882
11 Ta 0.2500 0.9866 0.3118
12 Ta 0.7500 0.5134 0.8118

No. 2
Computed, not measured: RbTeHC2 at its PBEsol-relaxed geometry at the meta-GGA SCAN level of DFT.

Values from the calculation:
- SG: P4/mmm
- Total moment: 2.149 μB per formula unit
- Total DFT energy (no corrections): -71.25 eV per cell

abc: 4.1695 4.1695 7.8384
angles: 90.00 90.00 90.00
Sites, in units of the cell vectors:
1 H 0.5000 0.5000 0.5000
2 C 0.0000 0.5000 0.0000
3 C 0.5000 0.0000 0.0000
4 Te 0.0000 0.0000 0.0000
5 Rb 0.0000 0.0000 0.5000

No. 3
Computed, not measured: LiTl2 at its PBEsol-relaxed geometry at the meta-GGA SCAN level of DFT.

Values from the calculation:
- SG: Cm
- Formation enthalpy at 0 K: -0.5 eV/f.u.
- Total moment: 0.000 μB per formula unit
- E above lowest polymorph: 0.0327 eV per atom

abc: 3.4990 6.0611 7.1806
angles: 99.88 90.00 106.78
Sites, in units of the cell vectors:
1 Tl 0.3426 0.6852 0.6905
2 Tl 0.3918 0.7836 0.2486
3 Tl 0.0592 0.1185 0.5834
4 Tl 0.6923 0.3847 0.9587
5 Li 0.9892 0.9784 0.9881
6 Li 0.6915 0.3829 0.3641

No. 4
Computed, not measured: Zr2TiCI at its PBEsol-relaxed geometry at the meta-GGA SCAN level of DFT.

Values from the calculation:
- Uncorrected formation energy: 808 meV/atom
- SG: P4/mmm
- Total moment: 0.000 μB per formula unit

abc: 3.9100 5.0594 5.0594
angles: 90.00 90.00 90.00
Sites, in units of the cell vectors:
1 I 0.5000 0.5000 0.5000
2 C 0.5000 0.0000 0.0000
3 Zr 0.0000 0.0000 0.5000
4 Zr 0.0000 0.5000 0.0000
5 Ti 0.0000 0.0000 0.0000